A relaxed Ho4Sc2N crystal, computed with PBE.

Properties
The raw total energy comes out at -5.84 eV/atom. The calculation puts the density of states at the Fermi level at 8.6 states/eV/f.u. The calculated density comes out at 6.79 g cm⁻³. The value obtained for the uncorrected formation energy is -0.226 eV per atom. The total magnetic moment comes out at 0.00 μB/f.u.

extended XYZ file:
```
7
Lattice="-2.346 2.346 8.484 2.346 -2.346 8.484 2.346 2.346 -8.484" Properties=species:S:1:pos:R:3 pbc="T T T"
Ho 2.346 0.000 0.000
Ho 0.000 0.000 2.355
Ho 0.000 2.346 0.000
Ho 0.000 0.000 14.612
Sc 0.000 0.000 5.737
Sc 0.000 0.000 11.230
N 0.000 0.000 0.000
```